K3SmPa2Te6: optimized geometry, GGA-PBE.

## Properties
Crystal system ... monoclinic
Raw formation energy ... -1.075 eV/atom
Space-group type ... C2/m, No. 12

a b c (Å): 7.7277 7.7277 8.8008
angles (deg): 98.41 98.41 120.01
Fractional coordinates of all 12 atoms:
K 0.0000 0.0000 0.0000
K 0.3351 0.6649 0.0000
K 0.6649 0.3351 0.0000
Sm 0.5000 0.5000 0.5000
Pa 0.1670 0.8330 0.5000
Pa 0.8330 0.1670 0.5000
Te 0.0912 0.4281 0.2847
Te 0.2344 0.2344 0.7146
Te 0.4281 0.0912 0.2847
Te 0.5719 0.9088 0.7153
Te 0.7656 0.7656 0.2854
Te 0.9088 0.5719 0.7153


Na2TbGaBr6: optimized geometry, GGA-PBE.

## Properties
Crystal system ... trigonal
Raw formation energy ... -1.482 eV/atom
Space-group type ... R3, No. 146

a b c (Å): 8.0886 8.0886 8.0886
angles (deg): 55.30 55.30 55.30
Fractional coordinates of all 10 atoms:
Na 0.0000 0.0000 0.0000
Na 0.4888 0.4888 0.4888
Tb 0.6832 0.6832 0.6832
Ga 0.1952 0.1952 0.1952
Br 0.0641 0.4275 0.7755
Br 0.2946 0.8839 0.6082
Br 0.4275 0.7755 0.0641
Br 0.6082 0.2946 0.8839
Br 0.7755 0.0641 0.4275
Br 0.8839 0.6082 0.2946


TeOsCl2: optimized geometry, GGA-PBE.

## Properties
ΔE to the lowest computed polymorph ... 1.393 eV per atom
Crystal system ... tetragonal
Raw formation energy ... 1.348 eV/atom
Space-group type ... P4/mmm, No. 123

a b c (Å): 5.1910 5.1910 3.1058
angles (deg): 90.00 90.00 90.00
Fractional coordinates of all 4 atoms:
Te 0.0000 0.0000 0.0000
Os 0.5000 0.5000 0.0000
Cl 0.0000 0.5000 0.5000
Cl 0.5000 0.0000 0.5000


AsCl2F8: optimized geometry, GGA-PBE.

## Properties
Crystal system ... monoclinic
Raw formation energy ... -1.345 eV/atom
Space-group type ... C2/m, No. 12

a b c (Å): 6.6232 6.6232 5.4471
angles (deg): 100.62 100.62 51.38
Fractional coordinates of all 11 atoms:
As 0.0000 0.0000 0.0000
Cl 0.2616 0.2616 0.4766
Cl 0.7384 0.7384 0.5234
F 0.0773 0.0773 0.3290
F 0.1225 0.6926 0.0721
F 0.3074 0.8775 0.9279
F 0.3991 0.3991 0.5931
F 0.6009 0.6009 0.4069
F 0.6926 0.1225 0.0721
F 0.8775 0.3074 0.9279
F 0.9227 0.9227 0.6710


Li2UGa6: optimized geometry, GGA-PBE.

## Properties
Crystal system ... hexagonal
Formation energy from the elements ... -203 kJ/mol of formula units
Space-group type ... P6/mmm, No. 191

a b c (Å): 7.9866 7.9866 2.8955
angles (deg): 90.00 90.00 120.00
Fractional coordinates of all 9 atoms:
Li 0.3333 0.6667 0.0000
Li 0.6667 0.3333 0.0000
U 0.0000 0.0000 0.0000
Ga 0.0000 0.3416 0.5000
Ga 0.0000 0.6584 0.5000
Ga 0.3416 0.0000 0.5000
Ga 0.3416 0.3416 0.5000
Ga 0.6584 0.0000 0.5000
Ga 0.6584 0.6584 0.5000


YSc2Ag2: optimized geometry, GGA-PBE.

## Properties
ΔE to the lowest computed polymorph ... 0.000 eV per atom
Crystal system ... monoclinic
Formation energy from the elements ... -103 kJ/mol of formula units
Space-group type ... P2_1/m, No. 11

a b c (Å): 3.4807 5.0590 13.0228
angles (deg): 90.00 97.66 90.00
Fractional coordinates of all 10 atoms:
Y 0.1461 0.2500 0.2917
Y 0.8539 0.7500 0.7083
Sc 0.0474 0.7500 0.0950
Sc 0.2356 0.7500 0.4712
Sc 0.7644 0.2500 0.5288
Sc 0.9526 0.2500 0.9050
Ag 0.3567 0.2500 0.7138
Ag 0.4573 0.7500 0.9142
Ag 0.5427 0.2500 0.0858
Ag 0.6433 0.7500 0.2862


HIr3Se: optimized geometry, GGA-PBE.

## Properties
Crystal system ... cubic
E_tot ... -30.54 eV per cell
Space-group type ... Pm-3m, No. 221

a b c (Å): 4.0081 4.0081 4.0081
angles (deg): 90.00 90.00 90.00
Fractional coordinates of all 5 atoms:
H 0.0000 0.0000 0.0000
Ir 0.0000 0.0000 0.5000
Ir 0.0000 0.5000 0.0000
Ir 0.5000 0.0000 0.0000
Se 0.5000 0.5000 0.5000


Mg4Re5: optimized geometry, GGA-PBE.

## Properties
ΔE to the lowest computed polymorph ... 0.000 eV per atom
Crystal system ... tetragonal
Formation energy from the elements ... 305 kJ/mol of formula units
Space-group type ... I4/mmm, No. 139

a b c (Å): 6.8951 6.8951 6.8951
angles (deg): 93.08 93.08 153.18
Fractional coordinates of all 9 atoms:
Mg 0.0000 0.3245 0.3245
Mg 0.0000 0.6755 0.6755
Mg 0.3245 0.0000 0.3245
Mg 0.6755 0.0000 0.6755
Re 0.0000 0.0000 0.0000
Re 0.3257 0.3257 0.6513
Re 0.3257 0.6743 0.0000
Re 0.6743 0.3257 0.0000
Re 0.6743 0.6743 0.3487


SrBiCl2: optimized geometry, GGA-PBE.

## Properties
ΔE to the lowest computed polymorph ... 0.283 eV per atom
Crystal system ... tetragonal
Raw formation energy ... -1.101 eV/atom
Space-group type ... I-42d, No. 122

a b c (Å): 6.9450 6.9450 6.9450
angles (deg): 105.97 105.97 116.73
Fractional coordinates of all 8 atoms:
Sr 0.0000 0.0000 0.0000
Sr 0.7500 0.2500 0.5000
Bi 0.2500 0.7500 0.5000
Bi 0.5000 0.5000 0.0000
Cl 0.0908 0.1250 0.4658
Cl 0.3750 0.9092 0.0342
Cl 0.6592 0.6250 0.5342
Cl 0.8750 0.3408 0.9658


La2Se: optimized geometry, GGA-PBE.

## Properties
Crystal system ... cubic
Raw formation energy ... -1.103 eV/atom
Space-group type ... Pa-3, No. 205

a b c (Å): 7.3114 7.3114 7.3114
angles (deg): 90.00 90.00 90.00
Fractional coordinates of all 12 atoms:
La 0.1393 0.1393 0.1393
La 0.1393 0.3607 0.6393
La 0.3607 0.6393 0.1393
La 0.3607 0.8607 0.6393
La 0.6393 0.1393 0.3607
La 0.6393 0.3607 0.8607
La 0.8607 0.6393 0.3607
La 0.8607 0.8607 0.8607
Se 0.0000 0.0000 0.5000
Se 0.0000 0.5000 0.0000
Se 0.5000 0.0000 0.0000
Se 0.5000 0.5000 0.5000


MgSc5Ga3: optimized geometry, GGA-PBE.

## Properties
Crystal system ... hexagonal
Formation energy from the elements ... -423 kJ/mol of formula units
Space-group type ... P6_3/mcm, No. 193

a b c (Å): 8.3578 8.3578 6.0160
angles (deg): 90.00 90.00 120.00
Fractional coordinates of all 18 atoms:
Mg 0.0000 0.0000 0.0000
Mg 0.0000 0.0000 0.5000
Sc 0.0000 0.3173 0.2500
Sc 0.0000 0.6827 0.7500
Sc 0.3173 0.0000 0.2500
Sc 0.3173 0.3173 0.7500
Sc 0.3333 0.6667 0.0000
Sc 0.3333 0.6667 0.5000
Sc 0.6667 0.3333 0.0000
Sc 0.6667 0.3333 0.5000
Sc 0.6827 0.0000 0.7500
Sc 0.6827 0.6827 0.2500
Ga 0.0000 0.3494 0.7500
Ga 0.0000 0.6506 0.2500
Ga 0.3494 0.0000 0.7500
Ga 0.3494 0.3494 0.2500
Ga 0.6506 0.0000 0.2500
Ga 0.6506 0.6506 0.7500


Sm3In8Ni3: optimized geometry, GGA-PBE.

## Properties
Crystal system ... monoclinic
Formation energy from the elements ... -447 kJ/mol of formula units
Space-group type ... C2/m, No. 12

a b c (Å): 8.7676 8.7676 9.1966
angles (deg): 121.59 121.59 31.83
Fractional coordinates of all 14 atoms:
Sm 0.0000 0.0000 0.0000
Sm 0.2821 0.2821 0.2833
Sm 0.7179 0.7179 0.7167
In 0.1376 0.1376 0.4378
In 0.1492 0.1492 0.8637
In 0.3548 0.3548 0.7506
In 0.4906 0.4906 0.3239
In 0.5094 0.5094 0.6761
In 0.6452 0.6452 0.2494
In 0.8508 0.8508 0.1363
In 0.8624 0.8624 0.5622
Ni 0.0000 0.0000 0.5000
Ni 0.3383 0.3383 0.0093
Ni 0.6617 0.6617 0.9907


Hf7Sb2H2: optimized geometry, GGA-PBE.

## Properties
Crystal system ... monoclinic
E_tot ... -87.11 eV per cell
Space-group type ... C2/m, No. 12

a b c (Å): 5.9626 5.9626 5.9975
angles (deg): 94.65 94.65 101.34
Fractional coordinates of all 11 atoms:
Hf 0.0000 0.0000 0.0000
Hf 0.1597 0.5000 0.8279
Hf 0.3327 0.3327 0.3361
Hf 0.5000 0.1597 0.8279
Hf 0.5000 0.8403 0.1721
Hf 0.6673 0.6673 0.6639
Hf 0.8403 0.5000 0.1721
Sb 0.1711 0.8289 0.5000
Sb 0.8289 0.1711 0.5000
H 0.2575 0.2575 0.9873
H 0.7425 0.7425 0.0127


Ni3PdN: optimized geometry, GGA-PBE.

## Properties
Crystal system ... tetragonal
Raw formation energy ... 0.640 eV/atom
Space-group type ... P4mm, No. 99

a b c (Å): 3.6009 3.6009 5.9426
angles (deg): 90.00 90.00 90.00
Fractional coordinates of all 5 atoms:
Ni 0.0000 0.0000 0.0000
Ni 0.0000 0.5000 0.7243
Ni 0.5000 0.0000 0.7243
Pd 0.0000 0.0000 0.3998
N 0.5000 0.5000 0.7228


LuBiRu2: optimized geometry, GGA-PBE.

## Properties
ΔE to the lowest computed polymorph ... 0.046 eV per atom
Crystal system ... tetragonal
Formation energy from the elements ... -75 kJ/mol of formula units
Space-group type ... P4/mmm, No. 123

a b c (Å): 4.6213 4.6213 3.4383
angles (deg): 90.00 90.00 90.00
Fractional coordinates of all 4 atoms:
Lu 0.0000 0.0000 0.0000
Bi 0.5000 0.5000 0.0000
Ru 0.0000 0.5000 0.5000
Ru 0.5000 0.0000 0.5000


AcEr3Mg4: optimized geometry, GGA-PBE.

## Properties
Crystal system ... tetragonal
Formation energy from the elements ... -37 kJ/mol of formula units
Space-group type ... P4/mmm, No. 123

a b c (Å): 5.4441 5.4441 7.7211
angles (deg): 90.00 90.00 90.00
Fractional coordinates of all 8 atoms:
Ac 0.0000 0.0000 0.0000
Er 0.0000 0.0000 0.5000
Er 0.5000 0.5000 0.0000
Er 0.5000 0.5000 0.5000
Mg 0.0000 0.5000 0.2672
Mg 0.0000 0.5000 0.7328
Mg 0.5000 0.0000 0.2672
Mg 0.5000 0.0000 0.7328


NaLiReO2: optimized geometry, GGA-PBE.

## Properties
Crystal system ... tetragonal
Raw formation energy ... 0.700 eV/atom
Space-group type ... P4/mmm, No. 123

a b c (Å): 4.0700 4.0700 3.4786
angles (deg): 90.00 90.00 90.00
Fractional coordinates of all 5 atoms:
Na 0.0000 0.0000 0.0000
Li 0.0000 0.0000 0.5000
Re 0.5000 0.5000 0.5000
O 0.0000 0.5000 0.0000
O 0.5000 0.0000 0.0000


GdTi2: optimized geometry, GGA-PBE.

## Properties
Crystal system ... tetragonal
Formation energy from the elements ... 62 kJ/mol of formula units
Space-group type ... I4/mmm, No. 139

a b c (Å): 7.3564 7.3564 7.3564
angles (deg): 156.18 156.18 33.93
Fractional coordinates of all 3 atoms:
Gd 0.0000 0.0000 0.0000
Ti 0.3147 0.3147 0.0000
Ti 0.6853 0.6853 0.0000


Tb2Dy2Tl: optimized geometry, GGA-PBE.

## Properties
ΔE to the lowest computed polymorph ... 0.000 eV per atom
Crystal system ... monoclinic
Formation energy from the elements ... -25 kJ/mol of formula units
Space-group type ... C2/m, No. 12

a b c (Å): 6.3546 6.3546 8.5144
angles (deg): 107.23 107.23 97.14
Fractional coordinates of all 10 atoms:
Tb 0.1145 0.7456 0.7836
Tb 0.2544 0.8855 0.2164
Tb 0.7456 0.1145 0.7836
Tb 0.8855 0.2544 0.2164
Dy 0.2223 0.2223 0.6163
Dy 0.3415 0.3415 0.0727
Dy 0.6585 0.6585 0.9273
Dy 0.7777 0.7777 0.3837
Tl 0.3329 0.6671 0.5000
Tl 0.6671 0.3329 0.5000


Ba4NaZn2: optimized geometry, GGA-PBE.

## Properties
ΔE to the lowest computed polymorph ... 0.003 eV per atom
Crystal system ... tetragonal
Formation energy from the elements ... 2 kJ/mol of formula units
Space-group type ... I4/m, No. 87

a b c (Å): 9.0110 9.0110 9.0110
angles (deg): 93.95 93.95 149.57
Fractional coordinates of all 7 atoms:
Ba 0.0805 0.2645 0.3450
Ba 0.2645 0.9195 0.1841
Ba 0.7355 0.0805 0.8159
Ba 0.9195 0.7355 0.6550
Na 0.5000 0.5000 0.0000
Zn 0.2500 0.7500 0.5000
Zn 0.7500 0.2500 0.5000


AcAgSeO4: optimized geometry, GGA-PBE.

## Properties
Crystal system ... orthorhombic
Raw formation energy ... -1.522 eV/atom
Space-group type ... Imma, No. 74

a b c (Å): 6.8967 6.8967 6.8967
angles (deg): 115.30 109.02 104.28
Fractional coordinates of all 14 atoms:
Ac 0.0000 0.0000 0.0000
Ac 0.5000 0.0000 0.5000
Ag 0.5000 0.0000 0.0000
Ag 0.5000 0.5000 0.5000
Se 0.1731 0.4231 0.7500
Se 0.8269 0.5769 0.2500
O 0.1184 0.6998 0.4186
O 0.2188 0.3002 0.9186
O 0.2574 0.2148 0.4574
O 0.2574 0.8000 0.0426
O 0.7426 0.2000 0.9574
O 0.7426 0.7852 0.5426
O 0.7812 0.6998 0.0814
O 0.8816 0.3002 0.5814


Er2ZnHg8: optimized geometry, GGA-PBE.

## Properties
Crystal system ... tetragonal
Formation energy from the elements ... -229 kJ/mol of formula units
Space-group type ... P4/mmm, No. 123

a b c (Å): 4.5896 4.5896 12.4114
angles (deg): 90.00 90.00 90.00
Fractional coordinates of all 11 atoms:
Er 0.0000 0.0000 0.1929
Er 0.0000 0.0000 0.8071
Zn 0.0000 0.0000 0.5000
Hg 0.0000 0.5000 0.0000
Hg 0.0000 0.5000 0.3703
Hg 0.0000 0.5000 0.6297
Hg 0.5000 0.0000 0.0000
Hg 0.5000 0.0000 0.3703
Hg 0.5000 0.0000 0.6297
Hg 0.5000 0.5000 0.1867
Hg 0.5000 0.5000 0.8133


Ca3Tl2Ga: optimized geometry, GGA-PBE.

## Properties
Crystal system ... orthorhombic
Formation energy from the elements ... -251 kJ/mol of formula units
Space-group type ... Cmmm, No. 65

a b c (Å): 8.5021 8.5021 7.7495
angles (deg): 90.00 90.00 143.24
Fractional coordinates of all 12 atoms:
Ca 0.0000 0.0000 0.2410
Ca 0.0000 0.0000 0.7590
Ca 0.3296 0.6704 0.2352
Ca 0.3296 0.6704 0.7648
Ca 0.6704 0.3296 0.2352
Ca 0.6704 0.3296 0.7648
Tl 0.1660 0.8340 0.5000
Tl 0.5000 0.5000 0.0000
Tl 0.5000 0.5000 0.5000
Tl 0.8340 0.1660 0.5000
Ga 0.1650 0.8350 0.0000
Ga 0.8350 0.1650 0.0000


no.,total moment (μB per atom)
1,0.32
2,0.00
3,0.70
4,0.01
5,0.27
6,0.00
7,0.00
8,0.00
9,0.00
10,0.00
11,0.00
12,0.00
13,0.00
14,0.32
15,0.00
16,0.00
17,0.60
18,2.39
19,0.00
20,0.00
21,0.00
22,0.00
23,0.00